Record 1
A geometry-optimized PmPrTh2Bi5 structure, computed with PBE-GGA.

The structure in POSCAR format:
```
PmPrTh2Bi5
1.0
-4.6787 -1.1559 -2.7826
3.0129 -1.8570 -4.2945
-0.0781 -10.9639 4.6860
Bi Pr Th Pm
5 1 2 1
direct
0.0000 0.0000 0.2470
0.5000 0.0000 0.5000
0.5000 0.5000 0.0000
0.0000 0.0000 0.7530
0.0000 0.5000 0.5000
0.0000 0.0000 0.5000
0.5000 0.5000 0.3039
0.5000 0.5000 0.6961
0.0000 0.0000 0.0000
```

***

Record 2
A geometry-optimized PmPrTlBi structure, computed with PBE-GGA.

The structure in POSCAR format:
```
PmPrTlBi
1.0
5.5862 0.0000 0.0000
2.7931 4.8378 0.0000
2.7931 1.6126 4.5611
Pm Tl Bi Pr
1 1 1 1
direct
0.7500 0.7500 0.7500
0.0000 0.0000 0.0000
0.5000 0.5000 0.5000
0.2500 0.2500 0.2500
```

***

Record 3
A geometry-optimized Pm2PrTmBi5 structure, computed with PBE-GGA.

The structure in POSCAR format:
```
Pm2PrTmBi5
1.0
-1.6620 -4.1731 -3.3556
4.0710 1.2978 -3.6304
7.3823 -7.4540 5.6136
Pm Bi Pr Tm
2 5 1 1
direct
0.5000 0.5000 0.2755
0.5000 0.5000 0.7245
0.0000 0.5000 0.5000
0.0000 0.0000 0.7589
0.5000 0.0000 0.5000
0.0000 0.0000 0.2411
0.5000 0.5000 0.0000
0.0000 0.0000 0.5000
0.0000 0.0000 0.0000
```

***

Record 4
A geometry-optimized Pm2PrTmBi4 structure, computed with PBE-GGA.

The structure in POSCAR format:
```
Pm2PrTmBi4
1.0
4.5638 0.0000 0.0000
0.0000 7.8945 0.1337
0.0000 -2.7620 7.4009
Bi Pm Pr Tm
4 2 1 1
direct
0.0000 0.7419 0.2445
0.0000 0.2581 0.7555
0.5000 0.7440 0.7508
0.5000 0.2560 0.2492
0.0000 0.5000 0.5000
0.5000 0.0000 0.5000
0.0000 0.0000 0.0000
0.5000 0.5000 0.0000
```

***

Per-record raw total energy, eV per cell: -42.2 -17.7 -37.6 -41.5
Per-record density, g/cm3: 8.07 9.42 7.30 8.89
Per-record DFT formation energy, meV/atom: 174 -479 57 -897